# CaIn12Ag4

CaIn12Ag4 after structural relaxation (PBE, Alexandria).

Values from the calculation:
Formation enthalpy at 0 K (meV/atom): 43
DFT total energy (eV/atom): -2.678

CIF file:
```
data_CaIn12Ag4
_cell_length_a 9.8055
_cell_length_b 9.8055
_cell_length_c 9.8055
_cell_angle_alpha 90.00
_cell_angle_beta 90.00
_cell_angle_gamma 90.00
_symmetry_space_group_name_H-M 'I m -3'
_symmetry_Int_Tables_number 204
_symmetry_space_group_name_Hall '-I 2 2 3'
loop_
_atom_site_label
_atom_site_fract_x
_atom_site_fract_y
_atom_site_fract_z
Ca1 0.0000 0.0000 0.0000
In1 0.0000 0.1543 0.3454
Ag1 0.2500 0.2500 0.2500
```